Compound: VReOF2
Source: the Alexandria database
Functional: GGA+U
Structure: optimized geometry

Cell and atoms, written as extended XYZ:
```
5
Lattice="4.219 0.000 0.000 0.000 4.219 0.000 0.000 0.000 3.876" Properties=species:S:1:pos:R:3 pbc="T T T"
V 0.000 0.000 0.000
Re 2.109 2.109 1.938
O 0.000 0.000 1.938
F 0.000 2.109 0.000
F 2.109 0.000 0.000
```

Values from the calculation:
offset from the most stable computed form	0	meV per atom
DFT total energy	-0.2271	hartree per atom
SG	No. 123